No. 1
## Ac3Al2SnPt9 (PBE)

Data for Ac3Al2SnPt9 after structural relaxation.

As for the energy relative to the elements: -12.14 eV/f.u.

a = 5.902 Å, b = 5.902 Å, c = 11.675 Å
α = 90.00°, β = 90.00°, γ = 120.00°
Element x y z (fractional)
1 Pt 0.000 0.500 0.000
2 Pt 0.668 0.834 0.318
3 Pt 0.500 0.000 0.000
4 Pt 0.332 0.166 0.682
5 Pt 0.166 0.834 0.318
6 Pt 0.500 0.500 0.000
7 Pt 0.834 0.166 0.682
8 Pt 0.834 0.668 0.682
9 Pt 0.166 0.332 0.318
10 Ac 0.667 0.333 0.255
11 Ac 0.333 0.667 0.745
12 Ac 0.000 0.000 0.000
13 Al 0.667 0.333 0.838
14 Al 0.333 0.667 0.162
15 Sn 0.000 0.000 0.500

***

No. 2
## SrAcAlPt (PBE)

Data for SrAcAlPt after structural relaxation.

As for the energy relative to the elements: -2.69 eV/f.u.

a = 4.418 Å, b = 4.418 Å, c = 8.463 Å
α = 90.03°, β = 105.09°, γ = 120.01°
Element x y z (fractional)
1 Sr 0.349 0.040 0.389
2 Pt 0.498 0.613 0.111
3 Al 0.842 0.286 0.128
4 Ac 0.003 0.866 0.869

***

No. 3
## AcTbAlPt (PBE)

Data for AcTbAlPt after structural relaxation.

As for the energy relative to the elements: -2.23 eV/f.u.

a = 5.283 Å, b = 5.283 Å, c = 5.283 Å
α = 60.00°, β = 60.00°, γ = 60.00°
Element x y z (fractional)
1 Ac 0.000 0.000 0.000
2 Tb 0.500 0.500 0.500
3 Pt 0.750 0.750 0.750
4 Al 0.250 0.250 0.250

***

No. 4
## AcTiAlPt2 (PBE)

Data for AcTiAlPt2 after structural relaxation.

As for the energy relative to the elements: -4.97 eV/f.u.

a = 4.236 Å, b = 4.236 Å, c = 6.599 Å
α = 108.72°, β = 108.72°, γ = 90.00°
Element x y z (fractional)
1 Ti 0.250 0.750 0.500
2 Ac 0.000 0.000 0.000
3 Pt 0.379 0.379 0.758
4 Pt 0.621 0.621 0.242
5 Al 0.750 0.250 0.500

***

No. 5
## Ac2TmAlPt6 (PBE)

Data for Ac2TmAlPt6 after structural relaxation.

As for the energy relative to the elements: -9.48 eV/f.u.

a = 5.661 Å, b = 8.831 Å, c = 7.188 Å
α = 48.77°, β = 66.81°, γ = 90.00°
Element x y z (fractional)
1 Pt 0.752 0.603 0.495
2 Pt 0.249 0.245 0.989
3 Pt 0.762 0.245 0.989
4 Pt 0.248 0.397 0.505
5 Pt 0.238 0.755 0.011
6 Pt 0.751 0.755 0.011
7 Tm 0.500 0.500 0.000
8 Ac 0.741 0.195 0.518
9 Ac 0.259 0.805 0.482
10 Al 0.000 0.000 0.000

***

No. 6
## Ac2TmAl4Pt3 (PBE)

Data for Ac2TmAl4Pt3 after structural relaxation.

As for the energy relative to the elements: -8.83 eV/f.u.

a = 4.372 Å, b = 4.372 Å, c = 11.660 Å
α = 90.00°, β = 90.00°, γ = 90.00°
Element x y z (fractional)
1 Al 0.500 0.500 0.000
2 Al 0.000 0.500 0.338
3 Al 0.000 0.000 0.000
4 Al 0.500 0.000 0.662
5 Ac 0.500 0.000 0.230
6 Ac 0.000 0.500 0.770
7 Pt 0.000 0.500 0.120
8 Pt 0.000 0.000 0.500
9 Pt 0.500 0.000 0.880
10 Tm 0.500 0.500 0.500

***

No. 7
## Ac2Al3Zn4Pt (PBE)

Data for Ac2Al3Zn4Pt after structural relaxation.

As for the energy relative to the elements: -4.50 eV/f.u.

a = 4.480 Å, b = 4.480 Å, c = 10.547 Å
α = 90.00°, β = 90.00°, γ = 90.00°
Element x y z (fractional)
1 Pt 0.500 0.500 0.500
2 Al 0.000 0.500 0.127
3 Al 0.500 0.000 0.873
4 Al 0.000 0.000 0.500
5 Zn 0.000 0.000 0.000
6 Zn 0.500 0.500 0.000
7 Zn 0.500 0.000 0.628
8 Zn 0.000 0.500 0.372
9 Ac 0.500 0.000 0.254
10 Ac 0.000 0.500 0.746

***

No. 8
## AcAlZnPt (PBE)

Data for AcAlZnPt after structural relaxation.

As for the energy relative to the elements: -2.82 eV/f.u.

a = 4.319 Å, b = 4.319 Å, c = 6.217 Å
α = 69.68°, β = 69.68°, γ = 60.00°
Element x y z (fractional)
1 Zn 0.013 0.013 0.961
2 Al 0.607 0.607 0.179
3 Ac 0.808 0.808 0.575
4 Pt 0.298 0.298 0.107

***

No. 9
## Ac3AlZn2Pt6 (PBE)

Data for Ac3AlZn2Pt6 after structural relaxation.

As for the energy relative to the elements: -10.25 eV/f.u.

a = 5.936 Å, b = 5.936 Å, c = 8.953 Å
α = 90.00°, β = 90.00°, γ = 120.00°
Element x y z (fractional)
1 Ac 0.333 0.667 0.627
2 Ac 0.667 0.333 0.373
3 Ac 0.000 0.000 0.000
4 Pt 0.172 0.344 0.293
5 Pt 0.172 0.828 0.293
6 Pt 0.656 0.828 0.293
7 Pt 0.828 0.656 0.707
8 Pt 0.344 0.172 0.707
9 Pt 0.828 0.172 0.707
10 Al 0.000 0.000 0.500
11 Zn 0.333 0.667 0.057
12 Zn 0.667 0.333 0.943

***

No. 10
## Ac2AlZn3Pt4 (PBE)

Data for Ac2AlZn3Pt4 after structural relaxation.

As for the energy relative to the elements: -8.64 eV/f.u.

a = 4.382 Å, b = 4.382 Å, c = 10.675 Å
α = 90.00°, β = 90.00°, γ = 90.00°
Element x y z (fractional)
1 Zn 0.000 0.500 0.128
2 Zn 0.500 0.000 0.872
3 Zn 0.000 0.000 0.500
4 Pt 0.000 0.500 0.371
5 Pt 0.500 0.000 0.629
6 Pt 0.500 0.500 0.000
7 Pt 0.000 0.000 0.000
8 Ac 0.500 0.000 0.241
9 Ac 0.000 0.500 0.759
10 Al 0.500 0.500 0.500

***

No. 11
## AcAlZn2Pt (PBE)

Data for AcAlZn2Pt after structural relaxation.

As for the energy relative to the elements: -3.25 eV/f.u.

a = 4.191 Å, b = 4.437 Å, c = 6.417 Å
α = 110.22°, β = 109.06°, γ = 90.00°
Element x y z (fractional)
1 Ac 0.441 0.441 0.882
2 Pt 0.824 0.824 0.647
3 Zn 0.057 0.057 0.115
4 Zn 0.694 0.194 0.388
5 Al 0.196 0.696 0.391

***

No. 12
## AcAl3ZnPt (PBE)

Data for AcAl3ZnPt after structural relaxation.

As for the energy relative to the elements: -2.55 eV/f.u.

a = 5.815 Å, b = 5.964 Å, c = 7.946 Å
α = 112.04°, β = 90.00°, γ = 90.00°
Element x y z (fractional)
1 Pt 0.750 0.088 0.175
2 Pt 0.250 0.912 0.825
3 Al 0.000 0.280 0.000
4 Al 0.750 0.886 0.772
5 Al 0.250 0.114 0.228
6 Al 0.500 0.720 0.000
7 Al 0.500 0.280 0.000
8 Al 0.000 0.720 0.000
9 Ac 0.250 0.706 0.411
10 Ac 0.750 0.294 0.589
11 Zn 0.750 0.633 0.265
12 Zn 0.250 0.367 0.735

***

For each record above, in turn, the calculated DOS at the Fermi energy values are 0.467, 0.994, 0.827, 1.320, 0.279, 0.905, 0.541, 0.884, 0.495, 0.461, 0.624, 0.358 states/eV/atom.